(1)
Below is a geometry-optimized LaOs3Pd structure, with properties calculated at the PBE-GGA level.

abc: 4.819 4.819 4.819
angles: 90.00 90.00 90.00
Element x y z (fractional)
La  0.000  0.000  0.000
Os  0.000  0.000  0.500
Os  0.000  0.500  0.000
Os  0.500  0.000  0.000
Pd  0.500  0.500  0.500

Summary:
Its density of states at the Fermi level is 1.115 states/eV/atom. The calculation puts the calculated total energy at -5.8741 eV/atom. Its space group is Pm-3m (221).

---

(2)
Below is a geometry-optimized LiGeN structure, with properties calculated at the PBE-GGA level.

abc: 3.017 3.017 9.428
angles: 90.00 90.00 120.00
Element x y z (fractional)
Li  0.333  0.667  0.000
Li  0.667  0.333  0.500
Ge  0.000  0.000  0.254
Ge  0.000  0.000  0.754
N  0.333  0.667  0.360
N  0.667  0.333  0.860

Summary:
Its energy relative to the elements, uncorrected is -0.303 eV/atom. Its space group is P6_3mc (186).

---

(3)
Below is a geometry-optimized Li2TlPPt structure, with properties calculated at the PBE-GGA level.

abc: 4.827 4.827 4.428
angles: 90.00 90.00 90.00
Element x y z (fractional)
Li  0.000  0.500  0.000
Li  0.500  0.000  0.000
Tl  0.000  0.000  0.500
P  0.500  0.500  0.000
Pt  0.500  0.500  0.500

Summary:
Its density of states at the Fermi level is 0.113 states/eV/atom. The calculation puts the calculated total energy at -3.9129 eV/atom. Its space group is P4/mmm (123).

---

(4)
Below is a geometry-optimized Er3SnH2 structure, with properties calculated at the PBE-GGA level.

abc: 11.586 11.586 6.207
angles: 103.85 103.85 17.59
Element x y z (fractional)
Er  0.033  0.033  0.275
Er  0.235  0.235  0.218
Er  0.395  0.395  0.136
Er  0.605  0.605  0.864
Er  0.765  0.765  0.782
Er  0.967  0.967  0.725
Sn  0.351  0.351  0.583
Sn  0.649  0.649  0.417
H  0.057  0.057  0.948
H  0.292  0.292  0.987
H  0.708  0.708  0.013
H  0.943  0.943  0.052

Summary:
Its density of states at the Fermi level is 0.700 states/eV/atom. The calculation puts the calculated total energy at -4.5460 eV/atom. Its space group is C2/m (12).

---

(5)
Below is a geometry-optimized Si2AsRh structure, with properties calculated at the PBE-GGA level.

abc: 7.788 3.184 5.551
angles: 90.00 110.57 90.00
Element x y z (fractional)
Si  0.245  0.000  0.306
Si  0.255  0.500  0.694
Si  0.745  0.500  0.306
Si  0.755  0.000  0.694
As  0.000  0.500  0.000
As  0.500  0.000  0.000
Rh  0.000  0.000  0.500
Rh  0.500  0.500  0.500

Summary:
Its energy relative to the elements, uncorrected is -0.019 eV/atom. Its density of states at the Fermi level is 0.611 states/eV/atom. Its space group is C2/m (12).

---

(6)
Below is a geometry-optimized ErNiSnRh structure, with properties calculated at the PBE-GGA level.

abc: 6.555 6.555 6.555
angles: 90.00 90.00 90.00
Element x y z (fractional)
Er  0.000  0.000  0.000
Er  0.000  0.500  0.500
Er  0.500  0.000  0.500
Er  0.500  0.500  0.000
Ni  0.250  0.250  0.250
Ni  0.250  0.750  0.750
Ni  0.750  0.250  0.750
Ni  0.750  0.750  0.250
Sn  0.000  0.000  0.500
Sn  0.000  0.500  0.000
Sn  0.500  0.000  0.000
Sn  0.500  0.500  0.500
Rh  0.250  0.250  0.750
Rh  0.250  0.750  0.250
Rh  0.750  0.250  0.250
Rh  0.750  0.750  0.750

Summary:
Its density of states at the Fermi level is 0.897 states/eV/atom. The calculation puts the calculated total energy at -6.0621 eV/atom. Its space group is F-43m (216).